NaCrF4 PBE+U optimized geometry; final energy = -65.99 eV for the cell shown; theoretical density = 3200 kg/m³
1.0
-4.529 1.927 -1.004
-0.694 -3.883 -4.322
-2.733 -6.309 0.221
Cr F Na
2 8 2
Cartesian
0.000 0.000 0.000 Cr
-3.979 -4.133 -2.552 Cr
-4.414 -2.505 -3.603 F
-5.485 -3.696 -1.343 F
-2.853 -2.977 -1.548 F
-3.695 -8.445 -3.404 F
-5.104 -5.288 -3.557 F
-4.262 0.179 -1.700 F
-3.543 -5.761 -1.501 F
-2.472 -4.570 -3.761 F
-1.367 -3.155 0.111 Na
-2.612 -0.978 -2.663 Na